A relaxed structure of DyZr5Sc. Source: the Alexandria database, functional GGA-PBE.

a = 10.204 Å, b = 11.787 Å, c = 6.174 Å
α = 90.00°, β = 108.50°, γ = 90.00°
Space group C2/c (No. 15)
Inequivalent atoms, fractional coordinates:
Dy 0.000 0.158 0.250 (multiplicity 4)
Zr 0.000 0.105 0.750 (multiplicity 4)
Zr 0.025 0.373 0.536 (multiplicity 8)
Zr 0.246 0.471 0.368 (multiplicity 8)
Sc 0.250 0.250 0.000 (multiplicity 4)

Computed properties:
The total energy comes out at -7.46 eV/atom.

=====

A relaxed structure of La2TlAg. Source: the Alexandria database, functional GGA-PBE.

a = 4.054 Å, b = 4.054 Å, c = 7.323 Å
α = 90.00°, β = 90.00°, γ = 90.00°
Space group P4mm (No. 99)
Inequivalent atoms, fractional coordinates:
La 0.000 0.000 0.000 (multiplicity 1)
La 0.500 0.500 0.308 (multiplicity 1)
Tl 0.000 0.000 0.553 (multiplicity 1)
Ag 0.500 0.500 0.786 (multiplicity 1)

Computed properties:
The total energy comes out at -3.92 eV/atom. The value obtained for the energy relative to the lowest polymorph listed for this composition is 194 meV/atom.

=====

A relaxed structure of TcSnBr6. Source: the Alexandria database, functional GGA-PBE.

a = 6.848 Å, b = 12.670 Å, c = 6.835 Å
α = 90.00°, β = 106.46°, γ = 90.00°
Space group C2/m (No. 12)
Inequivalent atoms, fractional coordinates:
Tc 0.000 0.000 0.000 (multiplicity 2)
Sn 0.000 0.500 0.500 (multiplicity 2)
Br 0.215 0.143 0.220 (multiplicity 8)
Br 0.237 0.000 0.773 (multiplicity 4)

Computed properties:
The value obtained for the uncorrected formation energy is -0.489 eV/atom. The total energy comes out at -3.54 eV/atom.

=====

A relaxed structure of La4Ag3Sn. Source: the Alexandria database, functional GGA-PBE.

a = 5.475 Å, b = 5.475 Å, c = 15.391 Å
α = 90.00°, β = 90.00°, γ = 90.00°
Space group I4/mmm (No. 139)
Inequivalent atoms, fractional coordinates:
La 0.000 0.500 0.126 (multiplicity 8)
Ag 0.000 0.000 0.000 (multiplicity 2)
Ag 0.000 0.000 0.248 (multiplicity 4)
Sn 0.000 0.000 0.500 (multiplicity 2)

Computed properties:
The total energy comes out at -4.43 eV/atom.

=====

A relaxed structure of Hf2AgSn. Source: the Alexandria database, functional GGA-PBE.

a = 4.397 Å, b = 4.397 Å, c = 4.277 Å
α = 90.00°, β = 90.00°, γ = 90.00°
Space group P4/mmm (No. 123)
Inequivalent atoms, fractional coordinates:
Hf 0.000 0.500 0.000 (multiplicity 2)
Ag 0.000 0.000 0.500 (multiplicity 1)
Sn 0.500 0.500 0.500 (multiplicity 1)

Computed properties:
The total energy comes out at -6.85 eV/atom.

=====

A relaxed structure of Ac8SiTe4As3. Source: the Alexandria database, functional GGA-PBE.

a = 9.2266 Å, b = 9.2266 Å, c = 23.2165 Å
α = 90.00°, β = 90.00°, γ = 120.00°
Space group R-3m (No. 166, hexagonal axes)
Inequivalent atoms, fractional coordinates:
Ac 0.0000 0.0000 0.2414 (multiplicity 6)
Ac 0.0034 0.5017 0.2412 (multiplicity 18)
Si 0.0000 0.0000 0.5000 (multiplicity 3)
Te 0.0000 0.0000 0.0000 (multiplicity 3)
Te 0.0000 0.5000 0.0000 (multiplicity 9)
As 0.0000 0.5000 0.5000 (multiplicity 9)

Computed properties:
The value obtained for the uncorrected formation energy is -1.460 eV/atom. The total energy comes out at -5.51 eV/atom.

=====

- Which formula does entry 2 have?
  La2TlAg

=====

- What is the formula in the third record?
  TcSnBr6